HfCrIO2: optimized geometry, PBE+U.

Cell: 4.0774 4.0774 6.0861 Å, 90.00 90.00 90.00°
Closest atoms and distances in Å follow each position.
Space group P4/mmm (No. 123)
Inequivalent atoms, fractional coordinates:
Hf  0.0000  0.0000  0.0000 x1  4 O 2.04
Cr  0.5000  0.5000  0.5000 x1  4 I 2.88
I  0.0000  0.0000  0.5000 x1  4 Cr 2.88, 2 Hf 3.04
O  0.0000  0.5000  0.0000 x2  2 Hf 2.04

## Properties
- E above lowest polymorph: 0.00 eV/f.u.
- Size of the total moment: 0.9999 μB per atom